Record 1
This record from the Alexandria database describes a geometry-optimized LaTa2Al structure. The functional is PBE.

```
LaTa2Al
1.0
-2.277 2.277 4.019
2.277 -2.277 4.019
2.277 2.277 -4.019
La Ta Al
1 2 1
direct
0.000 0.000 0.000
0.250 0.750 0.500
0.500 0.500 0.000
0.750 0.250 0.500
```

energy: -7.77 eV/atom
calculated volume: 20.8 Å³ per atom
formation energy from the elements: 320.4 meV per atom

***

Record 2
This record from the Alexandria database describes a geometry-optimized La2TaAl structure. The functional is PBE.

```
La2TaAl
1.0
3.908 0.000 0.000
0.000 3.908 0.000
0.000 0.000 6.979
La Ta Al
2 1 1
direct
0.000 0.000 0.250
0.000 0.000 0.750
0.500 0.500 0.000
0.500 0.500 0.500
```

energy: -6.07 eV/atom
calculated volume: 26.6 Å³ per atom
formation energy from the elements: 293.6 meV per atom

***

Record 3
This record from the Alexandria database describes a geometry-optimized LaTa2Al structure. The functional is PBE.

```
LaTa2Al
1.0
2.923 0.000 0.000
0.000 2.923 0.000
0.000 0.000 9.785
La Ta Al
1 2 1
direct
0.000 0.000 0.000
0.000 0.000 0.524
0.500 0.500 0.294
0.500 0.500 0.728
```

energy: -7.93 eV/atom
calculated volume: 20.9 Å³ per atom
formation energy from the elements: 165.6 meV per atom

***

Record 4
This record from the Alexandria database describes a geometry-optimized LaTaAl2 structure. The functional is PBE.

```
LaTaAl2
1.0
1.537 0.887 10.282
-1.537 0.887 10.282
0.000 -1.775 10.282
La Ta Al
1 1 2
direct
0.000 0.000 0.000
0.500 0.500 0.500
0.240 0.240 0.240
0.760 0.760 0.760
```

distance to the lowest polymorph of the same formula: 222 meV/atom
energy: -6.00 eV/atom
calculated volume: 21.0 Å³ per atom
formation energy from the elements: 69.7 meV per atom

***

Record 5
This record from the Alexandria database describes a geometry-optimized La2TaAl structure. The functional is PBE.

```
La2TaAl
1.0
3.652 0.000 0.000
0.000 3.652 0.000
0.000 0.000 8.227
La Ta Al
2 1 1
direct
0.000 0.000 0.000
0.500 0.500 0.387
0.000 0.000 0.643
0.500 0.500 0.765
```

energy: -6.26 eV/atom
calculated volume: 27.4 Å³ per atom
formation energy from the elements: 98.9 meV per atom

***

Record 6
This record from the Alexandria database describes a geometry-optimized La2TaAl structure. The functional is PBE.

```
La2TaAl
1.0
3.352 -4.711 0.000
3.352 4.711 0.000
0.000 0.000 3.218
La Ta Al
2 1 1
direct
0.000 0.500 0.000
0.500 0.000 0.000
0.000 0.000 0.500
0.500 0.500 0.500
```

energy: -6.14 eV/atom
calculated volume: 25.4 Å³ per atom
formation energy from the elements: 227.1 meV per atom